(1)
! PBE-GGA Be3AlCu4, optimized geometry; values from VASP
&SYSTEM
  ibrav = 0, nat = 16, ntyp = 3
/
ATOMIC_SPECIES
Be 9.01 Be.upf
Al 26.98 Al.upf
Cu 63.55 Cu.upf
ATOMIC_POSITIONS angstrom
Be 0.000 0.000 0.000
Be 0.000 0.000 3.917
Be 1.957 0.000 5.875
Be 1.959 0.000 1.958
Be 1.958 2.792 5.875
Be 1.959 2.792 1.958
Al 0.000 2.792 0.000
Al 0.000 2.792 3.917
Cu 1.958 4.289 0.000
Cu 1.958 4.289 3.917
Cu 1.958 1.295 0.000
Cu 1.958 1.295 3.917
Cu 3.916 4.289 5.875
Cu 0.001 4.289 1.958
Cu 0.001 1.295 1.958
Cu 3.916 1.295 5.875
CELL_PARAMETERS angstrom
3.917 0.000 0.000
0.000 5.585 0.000
0.000 0.000 7.834
! DOS at the Fermi energy (states/eV per cell): 3.945
! Energy of formation (meV/atom): -121


(2)
! PBE-GGA Tl3In2Ga2, optimized geometry; values from VASP
&SYSTEM
  ibrav = 0, nat = 7, ntyp = 3
/
ATOMIC_SPECIES
Tl 204.38 Tl.upf
In 114.82 In.upf
Ga 69.72 Ga.upf
ATOMIC_POSITIONS angstrom
Tl -3.241 1.807 -0.711
Tl -6.162 1.071 0.922
Tl -5.321 6.880 -1.643
In -6.447 3.481 -1.303
In -2.116 5.205 -1.051
Ga -4.520 4.774 0.657
Ga -4.042 3.912 -3.011
CELL_PARAMETERS angstrom
-3.218 0.634 -3.809
-6.162 1.071 0.922
0.817 6.981 0.533
! DOS at the Fermi energy (states/eV per cell): 3.224
! Energy of formation (meV/atom): 51


(3)
! PBE-GGA Th2ZnHgOs, optimized geometry; values from VASP
&SYSTEM
  ibrav = 0, nat = 10, ntyp = 4
/
ATOMIC_SPECIES
Th 232.04 Th.upf
Zn 65.41 Zn.upf
Hg 200.59 Hg.upf
Os 190.23 Os.upf
ATOMIC_POSITIONS angstrom
Th -4.880 4.790 5.254
Th -5.223 -0.267 2.520
Th -0.742 3.069 1.069
Th -0.400 8.127 3.802
Zn -1.939 4.182 4.065
Zn -3.684 3.677 2.257
Hg -2.521 1.377 3.288
Hg -3.101 6.482 3.035
Os -2.444 5.841 6.124
Os -3.179 2.018 0.199
CELL_PARAMETERS angstrom
-3.588 1.273 -1.906
-3.376 -2.038 4.994
1.342 8.625 3.234
! DOS at the Fermi energy (states/eV per cell): 5.784
! Energy of formation (meV/atom): -254


(4)
! PBE-GGA CaBS2I, optimized geometry; values from VASP
&SYSTEM
  ibrav = 0, nat = 5, ntyp = 4
/
ATOMIC_SPECIES
I 126.90 I.upf
Ca 40.08 Ca.upf
B 10.81 B.upf
S 32.06 S.upf
ATOMIC_POSITIONS angstrom
I 0.000 3.112 0.000
Ca 0.000 0.000 0.000
B 2.652 3.112 2.652
S 0.000 0.000 2.652
S 2.652 0.000 0.000
CELL_PARAMETERS angstrom
5.303 0.000 0.000
0.000 6.224 0.000
0.000 0.000 5.303
! E (eV per atom): -2.89
! DOS at the Fermi energy (states/eV per cell): 3.344